This record from Alexandria describes a geometry-optimized NaLa3I structure. The functional is PBE.

- Space group: Pm-3m, No. 221
- Formation energy without anion corrections: 0.0249 eV/atom
- Volume: 221.4 Å³/cell
- ΔE to the lowest computed polymorph: 0.0000 eV per atom
- E_tot: -3.5054 eV per atom

Geometry as CIF:
```
data_NaLa3I
_chemical_formula_sum 'Na1 La3 I1'
_space_group_name_H-M_alt 'P 1'
_space_group_IT_number 1
_cell_length_a 6.049
_cell_length_b 6.049
_cell_length_c 6.049
_cell_angle_alpha 90.00
_cell_angle_beta 90.00
_cell_angle_gamma 90.00
loop_
_space_group_symop_operation_xyz
'x,y,z'
loop_
_atom_site_label
_atom_site_type_symbol
_atom_site_fract_x
_atom_site_fract_y
_atom_site_fract_z
Na1 Na 0.000 0.000 0.000
La1 La 0.000 0.500 0.500
La2 La 0.500 0.000 0.500
La3 La 0.500 0.500 0.000
I1 I 0.500 0.500 0.500
```